(1)
The following is a GGA-PBE calculation of a geometry-optimized LiZrO2 structure, from OQMD.

Total DFT energy (no corrections) ... -7.578 eV per atom
Crystal system ... orthorhombic

abc: 6.258 6.961 4.369
angles: 90.00 90.00 90.00
Atoms (fractional coordinates):
Li 0.071 0.116 0.000
Li 0.429 0.616 0.500
Li 0.571 0.384 0.000
Li 0.929 0.884 0.500
Zr 0.091 0.622 0.999
Zr 0.409 0.122 0.499
Zr 0.591 0.878 0.999
Zr 0.909 0.378 0.499
O 0.081 0.125 0.499
O 0.103 0.640 0.499
O 0.397 0.140 0.999
O 0.419 0.625 0.999
O 0.581 0.375 0.499
O 0.603 0.860 0.499
O 0.897 0.360 0.999
O 0.919 0.875 0.999

---

(2)
The following is a GGA-PBE calculation of a geometry-optimized Er3ZrAs5 structure, from OQMD.

Total DFT energy (no corrections) ... -5.929 eV per atom
Crystal system ... hexagonal

abc: 7.857 7.857 3.831
angles: 90.00 90.00 120.00
Atoms (fractional coordinates):
Er 0.000 0.511 0.000
Er 0.489 0.489 0.000
Er 0.511 0.000 0.000
Zr 0.000 0.000 0.000
As 0.000 0.246 0.500
As 0.246 0.000 0.500
As 0.333 0.667 0.500
As 0.667 0.333 0.500
As 0.754 0.754 0.500

---

(3)
The following is a GGA-PBE calculation of a geometry-optimized ScTlFeMo structure, from OQMD.

Relative energy among the computed polymorphs ... 0.00 kJ/mol of atoms
Crystal system ... cubic

abc: 4.592 4.592 4.592
angles: 60.00 60.00 60.00
Atoms (fractional coordinates):
Sc 0.000 0.000 0.000
Tl 0.250 0.250 0.250
Fe 0.500 0.500 0.500
Mo 0.750 0.750 0.750

---

(4)
The following is a GGA-PBE calculation of a geometry-optimized Nd2Ta2Cl2O7 structure, from OQMD.

Total DFT energy (no corrections) ... -8.474 eV per atom
Crystal system ... monoclinic

abc: 7.928 7.928 6.910
angles: 113.16 113.16 28.69
Atoms (fractional coordinates):
Nd 0.193 0.193 0.167
Nd 0.807 0.807 0.833
Ta 0.465 0.465 0.201
Ta 0.535 0.535 0.799
Cl 0.177 0.177 0.565
Cl 0.823 0.823 0.435
O 0.045 0.045 0.837
O 0.324 0.324 0.069
O 0.417 0.417 0.846
O 0.500 0.500 0.500
O 0.583 0.583 0.154
O 0.676 0.676 0.931
O 0.955 0.955 0.163

---

(5)
The following is a GGA-PBE calculation of a geometry-optimized AlRe2Mo structure, from OQMD.

Total DFT energy (no corrections) ... -9.874 eV per atom
Crystal system ... cubic

abc: 4.385 4.385 4.385
angles: 60.00 60.00 60.00
Atoms (fractional coordinates):
Al 0.000 0.000 0.000
Re 0.500 0.500 0.500
Re 0.750 0.750 0.750
Mo 0.250 0.250 0.250

---

(6)
The following is a GGA-PBE calculation of a geometry-optimized NdAl2Pd2 structure, from OQMD.

Total DFT energy (no corrections) ... -5.331 eV per atom
Crystal system ... tetragonal

abc: 6.039 6.039 6.039
angles: 138.05 138.05 60.83
Atoms (fractional coordinates):
Nd 0.000 0.000 0.000
Al 0.372 0.372 0.000
Al 0.628 0.628 0.000
Pd 0.250 0.750 0.500
Pd 0.750 0.250 0.500

---

Question: What is the formula in the third record?
Answer: ScTlFeMo